(1)
VASP calculation (PBE-GGA) on a relaxed Na3Sr2Pb2 crystal.

Cell lengths 6.3091, 6.3091, 8.4291 Å; angles 106.00, 106.00, 50.79 degrees
Sites, in units of the cell vectors:
Na  0.0000  0.0000  0.0000
Na  0.1278  0.1278  0.4298
Na  0.8722  0.8722  0.5702
Sr  0.3523  0.3523  0.2033
Sr  0.6477  0.6477  0.7967
Pb  0.3437  0.3437  0.7825
Pb  0.6563  0.6563  0.2175

Computed properties:
As for the crystal system: monoclinic. The formation energy from the elements is -2.0 eV per formula unit. The total magnetization is 0.000 Bohr magnetons per cell. Its space-group type is No. 12.



(2)
VASP calculation (PBE-GGA) on a relaxed CaAcLaNd crystal.

Cell lengths 6.0783, 6.0783, 6.0783 Å; angles 60.00, 60.00, 60.00 degrees
Sites, in units of the cell vectors:
Ca  0.0000  0.0000  0.0000
Ac  0.5000  0.5000  0.5000
La  0.2500  0.2500  0.2500
Nd  0.7500  0.7500  0.7500

Computed properties:
As for the crystal system: cubic. The formation energy from the elements is 0.5 eV per formula unit. The total magnetization is 0.004 Bohr magnetons per cell. The energy above the most stable polymorph in this dataset comes out at 0.36 eV per formula unit. Its space-group type is No. 216.



(3)
VASP calculation (PBE-GGA) on a relaxed LaFeOs2 crystal.

Cell lengths 4.7493, 4.7493, 4.7493 Å; angles 125.34, 116.79, 88.33 degrees
Sites, in units of the cell vectors:
La  0.0000  0.0000  0.0000
Fe  0.2694  0.7694  0.5000
Os  0.5084  0.5084  0.0000
Os  0.6914  0.1914  0.5000

Computed properties:
As for the crystal system: orthorhombic. The formation energy from the elements is 2.4 eV per formula unit. The total magnetization is 2.706 Bohr magnetons per cell. The energy above the most stable polymorph in this dataset comes out at 2.12 eV per formula unit. Its space-group type is No. 44.



(4)
VASP calculation (PBE-GGA) on a relaxed Sr3Mo crystal.

Cell lengths 7.3455, 7.3455, 7.3455 Å; angles 148.44, 130.28, 60.09 degrees
Sites, in units of the cell vectors:
Sr  0.0000  0.0000  0.0000
Sr  0.3003  0.8003  0.5000
Sr  0.6997  0.1997  0.5000
Mo  0.5000  0.5000  0.0000

Computed properties:
As for the crystal system: orthorhombic. The formation energy from the elements is 3.1 eV per formula unit. The total magnetization is 2.770 Bohr magnetons per cell. The energy above the most stable polymorph in this dataset comes out at 0.18 eV per formula unit. Its space-group type is No. 71.



(5)
VASP calculation (PBE-GGA) on a relaxed ReTcOs3 crystal.

Cell lengths 4.6716, 4.6716, 4.6716 Å; angles 90.00, 90.00, 90.00 degrees
Sites, in units of the cell vectors:
Re  0.0000  0.0000  0.0000
Tc  0.5000  0.5000  0.5000
Os  0.0000  0.0000  0.5000
Os  0.0000  0.5000  0.0000
Os  0.5000  0.0000  0.0000

Computed properties:
As for the crystal system: cubic. The formation energy from the elements is 12.4 eV per formula unit. The total magnetization is 3.688 Bohr magnetons per cell. The energy above the most stable polymorph in this dataset comes out at 12.77 eV per formula unit. Its space-group type is No. 221.



(6)
VASP calculation (PBE-GGA) on a relaxed TaAuSCl2 crystal.

Cell lengths 4.8376, 4.8376, 4.8009 Å; angles 90.00, 90.00, 90.00 degrees
Sites, in units of the cell vectors:
Ta  0.0000  0.0000  0.0000
Au  0.5000  0.5000  0.5000
S  0.0000  0.0000  0.5000
Cl  0.0000  0.5000  0.0000
Cl  0.5000  0.0000  0.0000

Computed properties:
As for the crystal system: tetragonal. The total magnetization is 0.000 Bohr magnetons per cell. The energy above the most stable polymorph in this dataset comes out at 0.00 eV per formula unit. Its space-group type is No. 123. The uncorrected formation energy is -159 meV/atom.



(7)
VASP calculation (PBE-GGA) on a relaxed Nd2Dy7Y4 crystal.

Cell lengths 6.0989, 6.0989, 13.3235 Å; angles 90.00, 90.00, 120.00 degrees
Sites, in units of the cell vectors:
Nd  0.3333  0.6667  0.0000
Nd  0.6667  0.3333  0.0000
Dy  0.0000  0.0000  0.0000
Dy  0.0000  0.3564  0.2169
Dy  0.0000  0.6436  0.7831
Dy  0.3564  0.0000  0.2169
Dy  0.3564  0.3564  0.7831
Dy  0.6436  0.0000  0.7831
Dy  0.6436  0.6436  0.2169
Y  0.0000  0.0000  0.3944
Y  0.0000  0.0000  0.6056
Y  0.3333  0.6667  0.5000
Y  0.6667  0.3333  0.5000

Computed properties:
As for the crystal system: trigonal. The formation energy from the elements is 2.3 eV per formula unit. The total magnetization is 0.000 Bohr magnetons per cell. Its space-group type is No. 162.



(8)
VASP calculation (PBE-GGA) on a relaxed LaTbTmCu crystal.

Cell lengths 3.5232, 3.5232, 8.7938 Å; angles 90.00, 90.00, 90.00 degrees
Sites, in units of the cell vectors:
La  0.0000  0.0000  0.0000
Tb  0.5000  0.5000  0.6854
Tm  0.5000  0.5000  0.3102
Cu  0.0000  0.0000  0.4899

Computed properties:
As for the crystal system: tetragonal. The formation energy from the elements is -0.4 eV per formula unit. The total magnetization is 0.000 Bohr magnetons per cell. Its space-group type is No. 99.



(9)
VASP calculation (PBE-GGA) on a relaxed ZnSiRh2 crystal.

Cell lengths 8.1294, 8.1294, 8.1294 Å; angles 20.15, 20.15, 20.15 degrees
Sites, in units of the cell vectors:
Zn  0.0000  0.0000  0.0000
Si  0.5000  0.5000  0.5000
Rh  0.2417  0.2417  0.2417
Rh  0.7583  0.7583  0.7583

Computed properties:
As for the crystal system: trigonal. The total magnetization is 0.000 Bohr magnetons per cell. The energy above the most stable polymorph in this dataset comes out at 0.66 eV per formula unit. Its space-group type is No. 166. The uncorrected formation energy is -511 meV/atom.



(10)
VASP calculation (PBE-GGA) on a relaxed Sc12CoPd6 crystal.

Cell lengths 7.6139, 7.6139, 7.6139 Å; angles 98.77, 98.77, 98.77 degrees
Sites, in units of the cell vectors:
Sc  0.0216  0.9293  0.6833
Sc  0.0707  0.3167  0.9784
Sc  0.1853  0.5666  0.4206
Sc  0.3167  0.9784  0.0707
Sc  0.4206  0.1853  0.5666
Sc  0.4334  0.5794  0.8147
Sc  0.5666  0.4206  0.1853
Sc  0.5794  0.8147  0.4334
Sc  0.6833  0.0216  0.9293
Sc  0.8147  0.4334  0.5794
Sc  0.9293  0.6833  0.0216
Sc  0.9784  0.0707  0.3167
Co  0.0000  0.0000  0.0000
Pd  0.1275  0.3099  0.6357
Pd  0.3099  0.6357  0.1275
Pd  0.3643  0.8725  0.6901
Pd  0.6357  0.1275  0.3099
Pd  0.6901  0.3643  0.8725
Pd  0.8725  0.6901  0.3643

Computed properties:
As for the crystal system: trigonal. The formation energy from the elements is -8.3 eV per formula unit. The total magnetization is 0.000 Bohr magnetons per cell. Its space-group type is No. 148.



(11)
VASP calculation (PBE-GGA) on a relaxed Hf3CrMo crystal.

Cell lengths 5.0043, 5.0043, 5.0043 Å; angles 90.00, 90.00, 90.00 degrees
Sites, in units of the cell vectors:
Hf  0.0000  0.0000  0.5000
Hf  0.0000  0.5000  0.0000
Hf  0.5000  0.0000  0.0000
Cr  0.5000  0.5000  0.5000
Mo  0.0000  0.0000  0.0000

Computed properties:
As for the crystal system: cubic. The formation energy from the elements is 5.2 eV per formula unit. The total magnetization is 3.767 Bohr magnetons per cell. The energy above the most stable polymorph in this dataset comes out at 0.70 eV per formula unit. Its space-group type is No. 221.



(12)
VASP calculation (PBE-GGA) on a relaxed Cr2TeIr crystal.

Cell lengths 2.9876, 2.9876, 6.5897 Å; angles 90.00, 90.00, 90.00 degrees
Sites, in units of the cell vectors:
Cr  0.0000  0.0000  0.2493
Cr  0.0000  0.0000  0.7507
Te  0.5000  0.5000  0.5000
Ir  0.5000  0.5000  0.0000

Computed properties:
As for the crystal system: tetragonal. The total magnetization is 0.000 Bohr magnetons per cell. Its space-group type is No. 123. The uncorrected formation energy is 402 meV/atom.